(1)
A relaxed NdErAs crystal. Source: the Alexandria database, functional PBE-GGA.

Properties
- SG: No. 156
- Calculated volume: 30.67 A^3/atom

Unit cell a=4.012 b=4.012 c=6.600 alpha=90.00 beta=90.00 gamma=120.00
Positions (direct):
1 Nd 0.000 0.000 0.000
2 Er 0.667 0.333 0.519
3 As 0.333 0.667 0.274

---

(2)
A relaxed Nd5ErAs6 crystal. Source: the Alexandria database, functional PBE-GGA.

Properties
- SG: No. 12
- Calculated volume: 27.01 A^3/atom

Unit cell a=7.349 b=7.349 c=7.349 alpha=99.61 beta=99.61 gamma=119.98
Positions (direct):
1 Nd 0.000 0.000 0.000
2 Nd 0.166 0.834 0.500
3 Nd 0.332 0.668 0.000
4 Nd 0.668 0.332 0.000
5 Nd 0.834 0.166 0.500
6 Er 0.500 0.500 0.500
7 As 0.091 0.418 0.254
8 As 0.255 0.255 0.747
9 As 0.418 0.091 0.254
10 As 0.582 0.909 0.746
11 As 0.745 0.745 0.253
12 As 0.909 0.582 0.746

---

Number 1: total DFT energy (no corrections) -5.491 eV per atom. Number 2: total DFT energy (no corrections) -6.198 eV per atom.